GGA-PBE Pa2Ti3Ge4, optimized geometry; D(E_F) = 17.3 states/eV per cell; ρ = 8.8 Mg/m³; spin magnetization = 0.00 μB/cell; energy of formation from the pure elements = -0.657 eV/atom
1.0
7.0779 -0.0729 0.0000
-2.3938 6.7568 0.0000
0.0000 0.0000 7.1159
Pa Ti Ge
4 6 8
Direct
0.5576 0.1873 0.3295 Pa
0.9424 0.8127 0.8295 Pa
0.4424 0.8127 0.6705 Pa
0.0576 0.1873 0.1705 Pa
0.0000 0.5000 0.5000 Ti
0.5000 0.5000 0.0000 Ti
0.7468 0.2493 0.8373 Ti
0.7532 0.7507 0.3373 Ti
0.2532 0.7507 0.1627 Ti
0.2468 0.2493 0.6627 Ti
0.8565 0.0911 0.5474 Ge
0.6435 0.9089 0.0474 Ge
0.1435 0.9089 0.4526 Ge
0.3565 0.0911 0.9526 Ge
0.8654 0.5028 0.1359 Ge
0.6346 0.4972 0.6359 Ge
0.1346 0.4972 0.8641 Ge
0.3654 0.5028 0.3641 Ge



GGA-PBE Pa3Ti2Ge3, optimized geometry; D(E_F) = 29.3 states/eV per cell; ρ = 10.5 Mg/m³; spin magnetization = 0.28 μB/cell; energy of formation from the pure elements = -0.427 eV/atom
1.0
-3.4715 -3.5212 -2.4068
5.2462 -6.1112 1.3740
-5.7012 1.8184 5.5630
Pa Ti Ge
6 4 6
Direct
0.7500 0.2266 0.0000 Pa
0.7500 0.7734 0.7734 Pa
0.7500 0.0000 0.2266 Pa
0.2500 0.7734 0.0000 Pa
0.2500 0.2266 0.2266 Pa
0.2500 0.0000 0.7734 Pa
0.0000 0.3333 0.6667 Ti
0.5000 0.6667 0.3333 Ti
0.0000 0.6667 0.3333 Ti
0.5000 0.3333 0.6667 Ti
0.7500 0.5841 0.0000 Ge
0.7500 0.4159 0.4159 Ge
0.7500 0.0000 0.5841 Ge
0.2500 0.4159 0.0000 Ge
0.2500 0.5841 0.5841 Ge
0.2500 0.0000 0.4159 Ge



GGA-PBE Pa2TiGe2, optimized geometry; excess energy over the best structure of this formula in the dataset = 19 meV/atom; D(E_F) = 14.5 states/eV per cell; ρ = 10.2 Mg/m³; spin magnetization = 0.00 μB/cell; energy of formation from the pure elements = -0.421 eV/atom
1.0
-3.0661 2.6062 2.2990
-0.5287 -4.2159 4.0742
7.3828 1.9446 2.9703
Pa Ti Ge
4 2 4
Direct
0.0003 0.7281 0.0007 Pa
0.8054 0.4746 0.6107 Pa
0.1946 0.9746 0.3893 Pa
0.9997 0.2281 0.9993 Pa
0.4001 0.9785 0.8002 Ti
0.5999 0.4785 0.1998 Ti
0.4227 0.4785 0.8453 Ge
0.8207 0.9748 0.6414 Ge
0.1793 0.4748 0.3586 Ge
0.5773 0.9785 0.1547 Ge